<1>
Compound: Mg3MoOs
Source: Alexandria via LeMat-Bulk
Functional: PBE
Structure: relaxed

POSCAR file:
```
Mg3MoOs
1.0
4.9725 0.0000 0.0000
0.0000 4.9725 0.0000
0.0000 0.0000 4.9725
Mg Mo Os
3 1 1
direct
0.0000 0.0000 0.5000 Mg
0.0000 0.5000 0.0000 Mg
0.5000 0.0000 0.0000 Mg
0.0000 0.0000 0.0000 Mo
0.5000 0.5000 0.5000 Os
```

Calculated volume ... 123.0 Å³/cell
Magnetization ... 0.92 μB/atom

---

<2>
Compound: Mg3MoOs
Source: Alexandria via LeMat-Bulk
Functional: PBE
Structure: relaxed

POSCAR file:
```
Mg3MoOs
1.0
4.9263 0.0000 0.0000
0.0000 4.9263 0.0000
0.0000 0.0000 4.9263
Mg Mo Os
3 1 1
direct
0.0000 0.0000 0.5000 Mg
0.0000 0.5000 0.0000 Mg
0.5000 0.0000 0.0000 Mg
0.5000 0.5000 0.5000 Mo
0.0000 0.0000 0.0000 Os
```

Calculated volume ... 119.6 Å³/cell
Magnetization ... 0.82 μB/atom

---

Among the structures shown above, <2> is the most stable, with the second-best lying 800 meV per atom higher.